Entry 1:
Here is a relaxed Y3ZrS6 crystal from Alexandria. Energies are from PBE. Values from VASP.

Computed properties:
crystal system = trigonal
E_form (uncorrected) = -1880 meV/atom
spin magnetization = 0.92 μB per cell
electronic total energy = -7.1505 eV/atom

Quantum ESPRESSO input file:
```
&SYSTEM
  ibrav = 0, nat = 20, ntyp = 3
/
ATOMIC_SPECIES
S 32.06 S.upf
Y 88.91 Y.upf
Zr 91.22 Zr.upf
ATOMIC_POSITIONS angstrom
S 7.099 5.384 0.475
S 7.238 0.497 2.380
Y 5.579 3.058 7.148
S 3.247 4.395 6.348
Zr 0.000 0.000 0.000
Y 2.936 7.021 5.801
S 1.262 4.220 3.238
S 4.324 6.272 3.482
Zr 3.720 3.801 3.887
Y 6.956 5.732 3.215
S 3.115 1.330 4.291
S 0.201 7.105 5.393
Y 4.503 0.582 1.972
Y 1.860 4.545 0.625
S 4.192 3.207 1.425
S 6.177 3.382 4.535
S 2.211 7.288 0.550
Y 0.484 1.871 4.558
S 0.340 2.218 7.298
S 5.229 0.314 7.223
CELL_PARAMETERS angstrom
7.923 -0.070 -0.071
-0.242 7.920 -0.071
-0.242 -0.247 7.916
```

Entry 2:
Here is a relaxed CeDyPuAl crystal from Alexandria. Energies are from PBE. Values from VASP.

Computed properties:
energy of formation = -0.013 eV per atom
crystal system = cubic
spin magnetization = 8.06 μB per cell
electronic total energy = -7.1657 eV/atom

Quantum ESPRESSO input file:
```
&SYSTEM
  ibrav = 0, nat = 4, ntyp = 4
/
ATOMIC_SPECIES
Ce 140.12 Ce.upf
Pu 244.00 Pu.upf
Dy 162.50 Dy.upf
Al 26.98 Al.upf
ATOMIC_POSITIONS angstrom
Ce -5.765 5.825 -4.911
Pu -3.843 3.883 -3.274
Dy 0.000 0.000 0.000
Al -1.922 1.942 -1.637
CELL_PARAMETERS angstrom
-1.344 4.960 -0.800
-1.386 1.584 -4.756
-4.956 1.223 -0.992
```